<i>
Compound: CsAgMo3
Source: Alexandria
Functional: PBE
Structure: optimized geometry

Calculated values
**Space-group type**: Pm-3m, No. 221
**Calculated volume**: 117 Å³/cell
**Fermi-level density of states**: 3.96 states/eV/f.u.

a b c (Å): 4.892 4.892 4.892
angles (deg): 90.00 90.00 90.00
Positions (direct):
Ag 0.500 0.500 0.500
Mo 0.500 0.000 0.000
Mo 0.000 0.500 0.000
Mo 0.000 0.000 0.500
Cs 0.000 0.000 0.000

<ii>
Compound: CsAgMo3
Source: Alexandria
Functional: PBE
Structure: optimized geometry

Calculated values
**Space-group type**: Pm-3m, No. 221
**Calculated volume**: 129 Å³/cell
**Fermi-level density of states**: 6.01 states/eV/f.u.

a b c (Å): 5.047 5.047 5.047
angles (deg): 90.00 90.00 90.00
Last column: magnetic moment on the atom in μB.
Positions (direct):
Cs 0.500 0.500 0.500  0.09
Mo 0.000 0.000 0.500  1.89
Ag 0.000 0.000 0.000  0.14
Mo 0.500 0.000 0.000  1.47
Mo 0.000 0.500 0.000  1.72

Stability, descending: <ii>, <i>

<i>
Compound: CsAgMo2
Source: Alexandria
Functional: PBE
Structure: optimized geometry

Calculated values
**Space-group type**: I-42d, No. 122
**Calculated volume**: 215 Å³/cell
**Fermi-level density of states**: 4.06 states/eV/f.u.

a b c (Å): 4.443 4.443 11.346
angles (deg): 78.71 78.71 90.00
Positions (direct):
Ag 0.500 0.500 0.000
Mo 0.875 0.529 0.750
Ag 0.250 0.750 0.500
Mo 0.279 0.125 0.250
Mo 0.471 0.625 0.250
Mo 0.375 0.721 0.750
Cs 0.750 0.250 0.500
Cs 0.000 0.000 0.000

<ii>
Compound: CsAgMo2
Source: Alexandria
Functional: PBE
Structure: optimized geometry

Calculated values
**Space-group type**: Fm-3m, No. 225
**Calculated volume**: 77 Å³/cell
**Fermi-level density of states**: 4.66 states/eV/f.u.

a b c (Å): 4.778 4.778 4.778
angles (deg): 60.00 60.00 60.00
Positions (direct):
Ag 0.000 0.000 0.000
Mo 0.250 0.250 0.250
Cs 0.500 0.500 0.500
Mo 0.750 0.750 0.750

Stability, descending: <i>, <ii>

<i>
Compound: Cs2AgN
Source: Alexandria
Functional: PBE
Structure: optimized geometry

Calculated values
**Space-group type**: I-42d, No. 122
**Calculated volume**: 339 Å³/cell
**Fermi-level density of states**: 2.02 states/eV/f.u.

a b c (Å): 9.348 9.348 9.348
angles (deg): 92.72 92.72 154.82
Last column: magnetic moment on the atom in μB.
Positions (direct):
Cs 0.625 0.398 0.273  0.00
Cs 0.125 0.352 0.727  0.00
Cs 0.602 0.875 0.227  0.00
Ag 0.250 0.750 0.500  0.09
Cs 0.648 0.375 0.773  0.00
N 0.750 0.250 0.500  0.31
Ag 0.000 0.000 0.000  0.09
N 0.500 0.500 0.000  0.31

<ii>
Compound: Cs2AgN
Source: Alexandria
Functional: PBE
Structure: optimized geometry

Calculated values
**Space-group type**: Fm-3m, No. 225
**Calculated volume**: 140 Å³/cell
**Fermi-level density of states**: 15.80 states/eV/f.u.

a b c (Å): 5.830 5.830 5.830
angles (deg): 60.00 60.00 60.00
Positions (direct):
Cs 0.750 0.750 0.750
Cs 0.250 0.250 0.250
Ag 0.500 0.500 0.500
N 0.000 0.000 0.000

Stability, descending: <i>, <ii>

<i>
Compound: CsAgSeN2
Source: Alexandria
Functional: PBE
Structure: optimized geometry

Calculated values
**Space-group type**: P4/mmm, No. 123
**Calculated volume**: 140 Å³/cell
**Fermi-level density of states**: 4.87 states/eV/f.u.

a b c (Å): 4.408 4.408 7.200
angles (deg): 90.00 90.00 90.00
Last column: magnetic moment on the atom in μB.
Positions (direct):
Se 0.000 0.000 0.500  0.16
Ag 0.500 0.500 0.500  0.01
N 0.000 0.500 0.000  0.78
N 0.500 0.000 0.000  0.78
Cs 0.000 0.000 0.000  0.03

<ii>
Compound: CsAgSeN2
Source: Alexandria
Functional: PBE
Structure: optimized geometry

Calculated values
**Space-group type**: P4/mmm, No. 123
**Calculated volume**: 120 Å³/cell
**Fermi-level density of states**: 4.08 states/eV/f.u.

a b c (Å): 4.722 4.722 5.370
angles (deg): 90.00 90.00 90.00
Last column: magnetic moment on the atom in μB.
Positions (direct):
Ag 0.000 0.000 0.000  0.14
N 0.000 0.500 0.000  1.29
Se 0.000 0.000 0.500  0.36
Cs 0.500 0.500 0.500  0.05
N 0.500 0.000 0.000  1.29

Stability, descending: <ii>, <i>

<i>
Compound: CsAgTe2N
Source: Alexandria
Functional: PBE
Structure: optimized geometry

Calculated values
**Space-group type**: P4/mmm, No. 123
**Calculated volume**: 184 Å³/cell
**Fermi-level density of states**: 7.71 states/eV/f.u.

a b c (Å): 6.649 6.649 4.158
angles (deg): 90.00 90.00 90.00
Positions (direct):
Ag 0.500 0.500 0.500
Cs 0.000 0.000 0.000
Te 0.500 0.000 0.000
Te 0.000 0.500 0.000
N 0.000 0.000 0.500

<ii>
Compound: CsAgTe2N
Source: Alexandria
Functional: PBE
Structure: optimized geometry

Calculated values
**Space-group type**: P4/mmm, No. 123
**Calculated volume**: 158 Å³/cell
**Fermi-level density of states**: 4.07 states/eV/f.u.

a b c (Å): 6.309 6.309 3.973
angles (deg): 90.00 90.00 90.00
Last column: magnetic moment on the atom in μB.
Positions (direct):
N 0.000 0.000 0.500  1.01
Te 0.500 0.000 0.000  0.03
Te 0.000 0.500 0.000  0.03
Cs 0.500 0.500 0.500  0.00
Ag 0.000 0.000 0.000  0.15

Stability, descending: <ii>, <i>

<i>
Compound: CsNaAg
Source: Alexandria
Functional: PBE
Structure: optimized geometry

Calculated values
**Space-group type**: P-1, No. 2
**Calculated volume**: 286 Å³/cell
**Fermi-level density of states**: 1.01 states/eV/f.u.

a b c (Å): 5.929 6.959 7.393
angles (deg): 101.98 96.75 103.40
Positions (direct):
Na 0.451 0.749 0.600
Na 0.549 0.251 0.400
Ag 0.927 0.635 0.641
Ag 0.073 0.365 0.359
Cs 0.866 0.767 0.169
Cs 0.134 0.233 0.831

<ii>
Compound: CsNaAg
Source: Alexandria
Functional: PBE
Structure: optimized geometry

Calculated values
**Space-group type**: C2/m, No. 12
**Calculated volume**: 251 Å³/cell
**Fermi-level density of states**: 1.41 states/eV/f.u.

a b c (Å): 5.423 6.802 7.363
angles (deg): 95.55 111.65 90.05
Positions (direct):
Na 0.000 0.500 0.000
Cs 0.708 0.239 0.417
Na 0.000 0.000 0.000
Ag 0.559 0.698 0.118
Cs 0.292 0.761 0.583
Ag 0.441 0.302 0.882

Stability, descending: <i>, <ii>

<i>
Compound: CsNaAg
Source: Alexandria
Functional: PBE
Structure: optimized geometry

Calculated values
**Space-group type**: I4mm, No. 107
**Calculated volume**: 125 Å³/cell
**Fermi-level density of states**: 1.76 states/eV/f.u.

a b c (Å): 4.265 4.265 7.513
angles (deg): 106.49 106.49 90.00
Positions (direct):
Cs 0.603 0.603 0.206
Ag 0.908 0.908 0.815
Na 0.339 0.339 0.678

<ii>
Compound: CsNaAg
Source: Alexandria
Functional: PBE
Structure: optimized geometry

Calculated values
**Space-group type**: I4/mmm, No. 139
**Calculated volume**: 260 Å³/cell
**Fermi-level density of states**: 1.11 states/eV/f.u.

a b c (Å): 5.504 5.504 9.418
angles (deg): 106.99 106.99 90.00
Positions (direct):
Ag 0.915 0.915 0.831
Cs 0.679 0.679 0.358
Na 0.500 0.000 0.000
Ag 0.085 0.085 0.169
Na 0.000 0.500 0.000
Cs 0.321 0.321 0.642

<iii>
Compound: CsNaAg
Source: Alexandria
Functional: PBE
Structure: optimized geometry

Calculated values
**Space-group type**: P4/nmm, No. 129
**Calculated volume**: 255 Å³/cell
**Fermi-level density of states**: 2.37 states/eV/f.u.

a b c (Å): 5.493 5.493 8.459
angles (deg): 90.00 90.00 90.00
Positions (direct):
Cs 0.000 0.500 0.652
Ag 0.500 0.000 0.819
Ag 0.000 0.500 0.181
Na 0.000 0.000 0.000
Na 0.500 0.500 0.000
Cs 0.500 0.000 0.348

Stability, descending: <ii>, <iii>, <i>

<i>
Compound: CsNaAg
Source: Alexandria
Functional: PBE
Structure: optimized geometry

Calculated values
**Space-group type**: Fmmm, No. 69
**Calculated volume**: 938 Å³/cell
**Fermi-level density of states**: 0.99 states/eV/f.u.

a b c (Å): 12.891 6.152 11.829
angles (deg): 90.00 90.00 90.00
Positions (direct):
Ag 0.750 0.750 0.750
Cs 0.000 0.000 0.660
Cs 0.500 0.000 0.840
Cs 0.500 0.000 0.160
Na 0.809 0.000 0.000
Ag 0.750 0.250 0.750
Ag 0.250 0.250 0.250
Na 0.309 0.000 0.500
Na 0.691 0.000 0.500
Cs 0.500 0.500 0.340
Cs 0.000 0.500 0.840
Na 0.191 0.000 0.000
Ag 0.250 0.750 0.250
Na 0.691 0.500 0.000
Ag 0.250 0.750 0.750
Ag 0.750 0.250 0.250
Na 0.809 0.500 0.500
Na 0.309 0.500 0.000
Ag 0.750 0.750 0.250
Cs 0.500 0.500 0.660
Ag 0.250 0.250 0.750
Na 0.191 0.500 0.500
Cs 0.000 0.000 0.340
Cs 0.000 0.500 0.160

<ii>
Compound: CsNaAg
Source: Alexandria
Functional: PBE
Structure: optimized geometry

Calculated values
**Space-group type**: P2_1/m, No. 11
**Calculated volume**: 297 Å³/cell
**Fermi-level density of states**: 1.56 states/eV/f.u.

a b c (Å): 5.997 5.049 9.915
angles (deg): 90.00 97.81 90.00
Positions (direct):
Cs 0.289 0.250 0.184
Ag 0.384 0.750 0.482
Ag 0.616 0.250 0.518
Cs 0.711 0.750 0.816
Na 0.853 0.750 0.403
Na 0.147 0.250 0.597

<iii>
Compound: CsNaAg
Source: Alexandria
Functional: PBE
Structure: optimized geometry

Calculated values
**Space-group type**: P-6m2, No. 187
**Calculated volume**: 136 Å³/cell
**Fermi-level density of states**: 2.53 states/eV/f.u.

a b c (Å): 5.461 5.357 5.357
angles (deg): 120.00 90.00 90.00
Positions (direct):
Ag 0.166 0.000 0.000
Cs 0.667 0.667 0.333
Na 0.167 0.333 0.667

Stability, descending: <ii>, <iii>, <i>

<i>
Compound: CsNaAg
Source: Alexandria
Functional: PBE
Structure: optimized geometry

Calculated values
**Space-group type**: P1, No. 1
**Calculated volume**: 274 Å³/cell
**Fermi-level density of states**: 1.24 states/eV/f.u.

a b c (Å): 6.168 6.999 7.441
angles (deg): 104.03 98.54 113.92
Positions (direct):
Cs 0.178 0.312 0.399
Ag 0.054 0.722 0.191
Cs 0.958 0.790 0.692
Ag 0.508 0.988 0.486
Na 0.696 0.262 0.916
Na 0.527 0.719 0.095

<ii>
Compound: CsNaAg
Source: Alexandria
Functional: PBE
Structure: optimized geometry

Calculated values
**Space-group type**: F-43m, No. 216
**Calculated volume**: 150 Å³/cell
**Fermi-level density of states**: 3.56 states/eV/f.u.

a b c (Å): 5.959 5.959 5.959
angles (deg): 60.00 60.00 60.00
Positions (direct):
Cs 0.000 0.000 0.000
Na 0.500 0.500 0.500
Ag 0.250 0.250 0.250

Stability, descending: <i>, <ii>

<i>
Compound: CsNaAg
Source: Alexandria
Functional: PBE
Structure: optimized geometry

Calculated values
**Space-group type**: P1, No. 1
**Calculated volume**: 271 Å³/cell
**Fermi-level density of states**: 1.00 states/eV/f.u.

a b c (Å): 4.989 7.791 7.830
angles (deg): 91.59 108.49 108.46
Positions (direct):
Ag 0.760 0.123 0.013
Cs 0.694 0.713 0.284
Ag 0.497 0.970 0.637
Na 0.401 0.145 0.271
Cs 0.239 0.373 0.721
Na 0.060 0.883 0.851

<ii>
Compound: CsNaAg
Source: Alexandria
Functional: PBE
Structure: optimized geometry

Calculated values
**Space-group type**: P-1, No. 2
**Calculated volume**: 258 Å³/cell
**Fermi-level density of states**: 1.30 states/eV/f.u.

a b c (Å): 5.206 7.377 7.720
angles (deg): 90.85 109.73 110.84
Positions (direct):
Na 0.375 0.662 0.590
Na 0.625 0.338 0.410
Ag 0.051 0.426 0.174
Cs 0.246 0.169 0.823
Cs 0.754 0.831 0.177
Ag 0.949 0.574 0.826

Stability, descending: <ii>, <i>

<i>
Compound: CsNa3Ag
Source: Alexandria
Functional: PBE
Structure: optimized geometry

Calculated values
**Space-group type**: Pm-3m, No. 221
**Calculated volume**: 219 Å³/cell
**Fermi-level density of states**: 2.07 states/eV/f.u.

a b c (Å): 6.026 6.026 6.026
angles (deg): 90.00 90.00 90.00
Positions (direct):
Na 0.500 0.000 0.000
Na 0.000 0.500 0.000
Ag 0.000 0.000 0.000
Cs 0.500 0.500 0.500
Na 0.000 0.000 0.500

<ii>
Compound: CsNa3Ag
Source: Alexandria
Functional: PBE
Structure: optimized geometry

Calculated values
**Space-group type**: Pm-3m, No. 221
**Calculated volume**: 331 Å³/cell
**Fermi-level density of states**: 8.36 states/eV/f.u.

a b c (Å): 6.919 6.919 6.919
angles (deg): 90.00 90.00 90.00
Positions (direct):
Ag 0.500 0.500 0.500
Na 0.000 0.000 0.500
Cs 0.000 0.000 0.000
Na 0.500 0.000 0.000
Na 0.000 0.500 0.000

Stability, descending: <i>, <ii>

<i>
Compound: CsNa2Ag
Source: Alexandria
Functional: PBE
Structure: optimized geometry

Calculated values
**Space-group type**: P4/mmm, No. 123
**Calculated volume**: 168 Å³/cell
**Fermi-level density of states**: 1.60 states/eV/f.u.

a b c (Å): 6.270 5.180 5.180
angles (deg): 90.00 90.00 90.00
Positions (direct):
Ag 0.500 0.500 0.500
Na 0.000 0.500 0.000
Cs 0.500 0.000 0.000
Na 0.000 0.000 0.500

<ii>
Compound: CsNa2Ag
Source: Alexandria
Functional: PBE
Structure: optimized geometry

Calculated values
**Space-group type**: Fm-3m, No. 225
**Calculated volume**: 154 Å³/cell
**Fermi-level density of states**: 2.30 states/eV/f.u.

a b c (Å): 6.011 6.011 6.011
angles (deg): 60.00 60.00 60.00
Positions (direct):
Na 0.750 0.750 0.750
Cs 0.500 0.500 0.500
Ag 0.000 0.000 0.000
Na 0.250 0.250 0.250

Stability, descending: <i>, <ii>